No. 1
Computed, not measured: Ca2CrIn after structural relaxation at the PBE level of DFT.

Geometry as POSCAR:
```
Ca2CrIn
1.0
5.911 -1.894 0.000
5.911 1.894 0.000
-2.048 0.000 5.054
Ca Cr In
2 1 1
Direct
0.000 0.000 0.000
0.211 0.211 0.678
0.761 0.761 0.225
0.454 0.454 0.461
```

Calculated values
**Final energy**: -15.9 eV/cell
**Density**: 3.62 Mg/m³
**N(E_F)**: 2.847 states/eV/cell
**M_tot**: 4.6 μB/f.u.
**Space-group type**: Cm (8)
**Calculated volume**: 113.1 Å³ per cell
**E_form**: 0.127 eV per atom

---

No. 2
Computed, not measured: Ca2CrIn after structural relaxation at the PBE level of DFT.

Geometry as POSCAR:
```
Ca2CrIn
1.0
3.882 0.000 0.000
0.000 4.975 0.000
-1.929 0.000 6.060
Ca Cr In
2 1 1
Direct
0.000 0.000 0.000
0.306 0.500 0.614
0.592 0.500 0.184
0.718 0.000 0.439
```

Calculated values
**Final energy**: -15.9 eV/cell
**Density**: 3.50 Mg/m³
**N(E_F)**: 3.654 states/eV/cell
**M_tot**: 4.6 μB/f.u.
**Space-group type**: Pm (6)
**Calculated volume**: 117.0 Å³ per cell
**E_form**: 0.107 eV per atom

---

No. 3
Computed, not measured: CaCr3In after structural relaxation at the PBE level of DFT.

Geometry as POSCAR:
```
CaCr3In
1.0
4.438 0.000 0.000
0.000 4.438 0.000
0.000 0.000 4.438
Ca Cr In
1 3 1
Direct
0.000 0.000 0.000
0.000 0.000 0.500
0.000 0.500 0.000
0.500 0.000 0.000
0.500 0.500 0.500
```

Calculated values
**Final energy**: -21.9 eV/cell
**Density**: 5.90 Mg/m³
**N(E_F)**: 10.665 states/eV/cell
**Energy relative to the lowest polymorph listed for this composition**: 115.31 kJ/mol of atoms
**M_tot**: 0.0 μB/f.u.
**Space-group type**: Pm-3m (221)
**Calculated volume**: 87.4 Å³ per cell
**E_form**: 2.334 eV per atom

---

No. 4
Computed, not measured: Ca2CrIn after structural relaxation at the PBE level of DFT.

Geometry as POSCAR:
```
Ca2CrIn
1.0
1.829 1.056 10.259
-1.829 1.056 10.259
0.000 -2.112 10.259
Ca Cr In
2 1 1
Direct
0.250 0.250 0.250
0.750 0.750 0.750
0.000 0.000 0.000
0.500 0.500 0.500
```

Calculated values
**Final energy**: -15.1 eV/cell
**Density**: 3.45 Mg/m³
**N(E_F)**: 2.754 states/eV/cell
**M_tot**: 4.7 μB/f.u.
**Space-group type**: R-3m (166)
**Calculated volume**: 118.9 Å³ per cell
**E_form**: 0.314 eV per atom

---

No. 5
Computed, not measured: Ca2CrIn after structural relaxation at the PBE level of DFT.

Geometry as POSCAR:
```
Ca2CrIn
1.0
3.783 -3.787 0.000
3.783 3.787 0.000
0.000 0.000 3.841
Ca Cr In
2 1 1
Direct
0.000 0.500 0.000
0.500 0.000 0.000
0.000 0.000 0.500
0.500 0.500 0.500
```

Calculated values
**Final energy**: -16.0 eV/cell
**Density**: 3.73 Mg/m³
**N(E_F)**: 2.779 states/eV/cell
**M_tot**: 4.4 μB/f.u.
**Space-group type**: Cmmm (65)
**Calculated volume**: 110.0 Å³ per cell
**E_form**: 0.096 eV per atom

---

No. 6
Computed, not measured: CaCr4In after structural relaxation at the PBE level of DFT.

Geometry as POSCAR:
```
CaCr4In
1.0
0.000 3.603 3.603
3.603 0.000 3.603
3.603 3.603 0.000
Ca Cr In
1 4 1
Direct
0.000 0.000 0.000
0.123 0.626 0.626
0.626 0.123 0.626
0.626 0.626 0.123
0.626 0.626 0.626
0.250 0.250 0.250
```

Calculated values
**Final energy**: -40.1 eV/cell
**Density**: 6.44 Mg/m³
**N(E_F)**: 8.893 states/eV/cell
**M_tot**: 0.0 μB/f.u.
**Space-group type**: F-43m (216)
**Calculated volume**: 93.6 Å³ per cell
**E_form**: 0.521 eV per atom

---

No. 7
Computed, not measured: CaCr3In after structural relaxation at the PBE level of DFT.

Geometry as POSCAR:
```
CaCr3In
1.0
5.200 0.000 0.000
0.000 5.200 0.000
0.000 0.000 5.200
Ca Cr In
1 3 1
Direct
0.000 0.000 0.000
0.000 0.500 0.500
0.500 0.000 0.500
0.500 0.500 0.000
0.500 0.500 0.500
```

Calculated values
**Final energy**: -27.9 eV/cell
**Density**: 3.67 Mg/m³
**N(E_F)**: 2.683 states/eV/cell
**Energy relative to the lowest polymorph listed for this composition**: 0.00 kJ/mol of atoms
**M_tot**: 13.0 μB/f.u.
**Space-group type**: Pm-3m (221)
**Calculated volume**: 140.6 Å³ per cell
**E_form**: 1.139 eV per atom

---

No. 8
Computed, not measured: Ca2CrIn after structural relaxation at the PBE level of DFT.

Geometry as POSCAR:
```
Ca2CrIn
1.0
0.000 3.710 3.710
3.710 0.000 3.710
3.710 3.710 0.000
Ca Cr In
2 1 1
Direct
0.000 0.000 0.000
0.250 0.250 0.250
0.750 0.750 0.750
0.500 0.500 0.500
```

Calculated values
**Final energy**: -16.0 eV/cell
**Density**: 4.02 Mg/m³
**N(E_F)**: 0.840 states/eV/cell
**M_tot**: 4.7 μB/f.u.
**Space-group type**: F-43m (216)
**Calculated volume**: 102.1 Å³ per cell
**E_form**: 0.083 eV per atom

---

No. 9
Computed, not measured: Ca4CrIn after structural relaxation at the PBE level of DFT.

Geometry as POSCAR:
```
Ca4CrIn
1.0
0.000 4.692 4.692
4.692 0.000 4.692
4.692 4.692 0.000
Ca Cr In
4 1 1
Direct
0.125 0.125 0.125
0.125 0.125 0.625
0.125 0.625 0.125
0.625 0.125 0.125
0.750 0.750 0.750
0.500 0.500 0.500
```

Calculated values
**Final energy**: -17.1 eV/cell
**Density**: 2.63 Mg/m³
**N(E_F)**: 6.564 states/eV/cell
**M_tot**: 4.4 μB/f.u.
**Space-group type**: F-43m (216)
**Calculated volume**: 206.6 Å³ per cell
**E_form**: 0.551 eV per atom

---

No. 10
Computed, not measured: Ca2CrIn after structural relaxation at the PBE level of DFT.

Geometry as POSCAR:
```
Ca2CrIn
1.0
-4.266 4.266 3.285
4.266 -4.266 3.285
4.266 4.266 -3.285
Ca Cr In
4 2 2
Direct
0.114 0.625 0.989
0.375 0.364 0.489
0.636 0.125 0.011
0.875 0.886 0.511
0.000 0.000 0.000
0.750 0.250 0.500
0.250 0.750 0.500
0.500 0.500 0.000
```

Calculated values
**Final energy**: -29.3 eV/cell
**Density**: 3.43 Mg/m³
**N(E_F)**: 5.955 states/eV/cell
**M_tot**: 4.7 μB/f.u.
**Space-group type**: I-42d (122)
**Calculated volume**: 239.1 Å³ per cell
**E_form**: 0.424 eV per atom

---

No. 11
Computed, not measured: Ca2CrInN after structural relaxation at the PBE level of DFT.

Geometry as POSCAR:
```
Ca2CrInN
1.0
5.171 0.000 0.000
0.000 5.171 0.000
0.000 0.000 3.841
Ca Cr In N
2 1 1 1
Direct
0.000 0.500 0.000
0.500 0.000 0.000
0.000 0.000 0.500
0.500 0.500 0.500
0.000 0.000 0.000
```

Calculated values
**Final energy**: -27.1 eV/cell
**Density**: 4.22 Mg/m³
**N(E_F)**: 2.176 states/eV/cell
**M_tot**: 2.8 μB/f.u.
**Uncorrected formation energy**: -0.491 eV/atom
**Space-group type**: P4/mmm (123)
**Calculated volume**: 102.7 Å³ per cell